VASP calculation (PBE-GGA) on a relaxed structure of ZnCd2Mo.

The structure belongs to space group I-42d (No. 122); the cell edges are 7.447, 7.447 and 5.551 Å and the angles 90.00°, 90.00° and 90.00°. The distinct sites, in fractional coordinates, are Zn at (0.000, 0.000, 0.000), Cd at (0.229, 0.250, 0.125) and Mo at (0.000, 0.000, 0.500).

The formation energy is 0.68 eV per atom. The density of states at the Fermi level comes out at 0.38 states/eV/cell. For the total energy, the calculation gives -2.801 eV/atom.

***

VASP calculation (PBE-GGA) on a relaxed structure of ZnCd2Mo.

The structure belongs to space group P4/mmm (No. 123); the cell edges are 4.074, 4.074 and 4.252 Å and the angles 90.00°, 90.00° and 90.00°. The distinct sites, in fractional coordinates, are Zn at (0.000, 0.000, 0.000), Cd at (0.000, 0.500, 0.500) and Mo at (0.500, 0.500, 0.000).

The formation energy is 0.27 eV per atom. The density of states at the Fermi level comes out at 1.93 states/eV/cell. For the total energy, the calculation gives -3.210 eV/atom.

***

VASP calculation (PBE-GGA) on a relaxed structure of Zn2CdMo.

The structure belongs to space group Cm (No. 8); the cell edges are 10.449, 2.766 and 5.037 Å and the angles 90.00°, 115.98° and 90.00°. The distinct sites, in fractional coordinates, are Zn at (0.000, 0.000, 0.000), Zn at (0.245, 0.500, 0.426), Cd at (0.247, 0.000, 0.921) and Mo at (0.492, 0.000, 0.487).

The formation energy is 0.19 eV per atom. The density of states at the Fermi level comes out at 2.31 states/eV/cell. For the total energy, the calculation gives -3.383 eV/atom.

***

VASP calculation (PBE-GGA) on a relaxed structure of ZnCdMo2.

The structure belongs to space group I-4m2 (No. 119); the cell edges are 4.063, 4.063 and 7.933 Å and the angles 90.00°, 90.00° and 90.00°. The distinct sites, in fractional coordinates, are Zn at (0.000, 0.000, 0.000), Cd at (0.000, 0.500, 0.750), Mo at (0.000, 0.000, 0.500) and Mo at (0.000, 0.500, 0.250).

The formation energy is 0.39 eV per atom. The density of states at the Fermi level comes out at 5.81 states/eV/cell. For the total energy, the calculation gives -5.576 eV/atom. As for the energy above the most stable polymorph in this dataset: 0.817 eV per formula unit.

***

Which of these has the lowest density of states at the Fermi level?
number 1

***

The highest density of states at the Fermi level belongs to which entry?
ZnCdMo2

***

Repeat the third record exactly.
VASP calculation (PBE-GGA) on a relaxed structure of Zn2CdMo.

The structure belongs to space group Cm (No. 8); the cell edges are 10.449, 2.766 and 5.037 Å and the angles 90.00°, 115.98° and 90.00°. The distinct sites, in fractional coordinates, are Zn at (0.000, 0.000, 0.000), Zn at (0.245, 0.500, 0.426), Cd at (0.247, 0.000, 0.921) and Mo at (0.492, 0.000, 0.487).

The formation energy is 0.19 eV per atom. The density of states at the Fermi level comes out at 2.31 states/eV/cell. For the total energy, the calculation gives -3.383 eV/atom.